[1]
A plane-wave DFT calculation with GGA-PBE was carried out for an optimized crystal structure of Pb2Au2I.

Cell lengths 4.1271, 4.1271, 9.0220 Å; angles 76.78, 76.78, 90.00 degrees
Last column: nearest neighbours and their distance in Å.
Fractional coordinates of all 5 atoms:
Pb (0.3768, 0.3768, 0.2464)  4 Au 2.99
Pb (0.6232, 0.6232, 0.7536)  4 Au 2.99
I (0.0000, 0.0000, 0.0000)  8 Pb 3.60
Au (0.7500, 0.2500, 0.5000)  4 Au 2.92, 4 Pb 2.99
Au (0.2500, 0.7500, 0.5000)  4 Au 2.92, 4 Pb 2.99

Properties
The polymorph energy (0 for the lowest one) comes out at 0.000 eV per atom. As for the space group: I4/mmm, No. 139. The calculation puts the raw formation energy at -0.100 eV/atom. The value obtained for the density of states at the Fermi level is 2.39 states/eV/cell.

[2]
A plane-wave DFT calculation with GGA-PBE was carried out for an optimized crystal structure of LiPSe.

Cell lengths 7.6923, 3.5949, 9.3361 Å; angles 90.00, 103.09, 90.00 degrees
Last column: nearest neighbours and their distance in Å.
Fractional coordinates of all 12 atoms:
Li (0.8843, 0.4766, 0.1052)  5 Se 2.66-2.86, 1 P 2.85, 1 Li 2.93
Li (0.1157, 0.4766, 0.8948)  5 Se 2.66-2.86, 1 P 2.85, 1 Li 2.93
Li (0.8843, 0.9766, 0.6052)  5 Se 2.66-2.86, 1 P 2.85, 1 Li 2.93
Li (0.1157, 0.9766, 0.3948)  5 Se 2.66-2.86, 1 P 2.85, 1 Li 2.93
P (0.4346, 0.0937, 0.2946)  2 P 2.31, 1 Se 2.31
P (0.5654, 0.0937, 0.7054)  2 P 2.31, 1 Se 2.31
P (0.4346, 0.5937, 0.7946)  2 P 2.31, 1 Se 2.31
P (0.5654, 0.5937, 0.2054)  2 P 2.31, 1 Se 2.31
Se (0.1713, 0.9924, 0.1234)  1 P 2.31
Se (0.8287, 0.9924, 0.8766)  1 P 2.31
Se (0.1713, 0.4924, 0.6234)  1 P 2.31
Se (0.8287, 0.4924, 0.3766)  1 P 2.31

Properties
The polymorph energy (0 for the lowest one) comes out at 0.049 eV per atom. As for the space group: C2, No. 5. The calculation puts the raw formation energy at -0.509 eV/atom. The value obtained for the density of states at the Fermi level is 0.09 states/eV/cell.